Entry 1:
A plane-wave DFT calculation with GGA-PBE was carried out for a relaxed AcLaHf crystal.

Values from the calculation:
- Uncorrected energy: -16.73 eV for the cell shown
- Total magnetic moment: 0.0 μB/cell
- E_form: 2.251 eV per formula unit
- SG: F-43m

a = 5.432 Å, b = 5.432 Å, c = 5.432 Å
α = 60.00°, β = 60.00°, γ = 60.00°
Sites, in units of the cell vectors:
Ac (0.250, 0.250, 0.250)
Hf (0.000, 0.000, 0.000)
La (0.750, 0.750, 0.750)

---

Entry 2:
A plane-wave DFT calculation with GGA-PBE was carried out for a relaxed LuBeTlFe crystal.

Values from the calculation:
- Uncorrected energy: -17.56 eV for the cell shown
- Total magnetic moment: 2.2 μB/cell
- SG: F-43m

a = 4.656 Å, b = 4.656 Å, c = 4.656 Å
α = 60.00°, β = 60.00°, γ = 60.00°
Sites, in units of the cell vectors:
Be (0.500, 0.500, 0.500)
Fe (0.750, 0.750, 0.750)
Lu (0.250, 0.250, 0.250)
Tl (0.000, 0.000, 0.000)

---

Entry 3:
A plane-wave DFT calculation with GGA-PBE was carried out for a relaxed NaLuNO crystal.

Values from the calculation:
- Uncorrected energy: -49.75 eV for the cell shown
- Total magnetic moment: 2.0 μB/cell
- SG: P4/mmm

a = 4.757 Å, b = 4.757 Å, c = 4.496 Å
α = 90.00°, β = 90.00°, γ = 90.00°
Sites, in units of the cell vectors:
Lu (0.750, 0.250, 0.500)
Lu (0.250, 0.750, 0.500)
N (0.750, 0.750, 0.499)
N (0.250, 0.250, 0.501)
Na (0.250, 0.250, 0.001)
Na (0.750, 0.750, 0.999)
O (0.750, 0.250, 0.000)
O (0.250, 0.750, 0.000)

---

Entry 4:
A plane-wave DFT calculation with GGA-PBE was carried out for a relaxed RbPd3N5 crystal.

Values from the calculation:
- Uncorrected energy: -45.16 eV for the cell shown
- SG: P6/mmm

a = 5.236 Å, b = 5.236 Å, c = 6.133 Å
α = 90.00°, β = 90.00°, γ = 120.00°
Sites, in units of the cell vectors:
N (0.667, 0.333, 0.279)
N (0.333, 0.667, 0.279)
N (0.000, 0.000, 0.500)
N (0.667, 0.333, 0.721)
N (0.333, 0.667, 0.721)
Pd (0.500, 0.000, 0.500)
Pd (0.000, 0.500, 0.500)
Pd (0.500, 0.500, 0.500)
Rb (0.000, 0.000, 0.000)

---

Entry 5:
A plane-wave DFT calculation with GGA-PBE was carried out for a relaxed Li2Zn2Ga2AgPt crystal.

Values from the calculation:
- Uncorrected energy: -24.43 eV for the cell shown
- Total magnetic moment: 0.0 μB/cell
- SG: P-4m2

a = 4.379 Å, b = 4.379 Å, c = 6.183 Å
α = 90.00°, β = 90.00°, γ = 90.00°
Sites, in units of the cell vectors:
Ag (0.000, 0.000, 0.000)
Ga (0.500, 0.000, 0.264)
Ga (0.000, 0.500, 0.736)
Li (0.500, 0.500, 0.000)
Li (0.000, 0.000, 0.500)
Pt (0.500, 0.500, 0.500)
Zn (0.000, 0.500, 0.259)
Zn (0.500, 0.000, 0.741)

---

Entry 6:
A plane-wave DFT calculation with GGA-PBE was carried out for a relaxed KH3Au crystal.

Values from the calculation:
- Uncorrected energy: -30.81 eV for the cell shown
- SG: C2/m

a = 5.832 Å, b = 5.832 Å, c = 5.787 Å
α = 119.48°, β = 119.48°, γ = 59.44°
Sites, in units of the cell vectors:
Au (0.000, 0.000, 0.000)
Au (0.500, 0.500, 0.500)
H (0.794, 0.206, 0.206)
H (0.206, 0.794, 0.206)
H (0.298, 0.298, 0.297)
H (0.702, 0.702, 0.703)
H (0.794, 0.206, 0.794)
H (0.206, 0.794, 0.794)
K (0.750, 0.750, 0.251)
K (0.250, 0.250, 0.749)

---

Entry 7:
A plane-wave DFT calculation with GGA-PBE was carried out for a relaxed KPuZn crystal.

Values from the calculation:
- Uncorrected energy: -14.71 eV for the cell shown
- Total magnetic moment: 6.9 μB/cell
- SG: F-43m

a = 5.308 Å, b = 5.308 Å, c = 5.308 Å
α = 60.00°, β = 60.00°, γ = 60.00°
Site moments in Bohr magnetons follow the coordinates.
Sites, in units of the cell vectors:
K (0.250, 0.250, 0.250)  0.04
Pu (0.750, 0.750, 0.750)  5.86
Zn (0.000, 0.000, 0.000)  0.10

---

Entry 8:
A plane-wave DFT calculation with GGA-PBE was carried out for a relaxed IrPt2O4 crystal.

Values from the calculation:
- Uncorrected energy: -79.78 eV for the cell shown
- Total magnetic moment: 0.1 μB/cell
- SG: Fd-3m

a = 6.265 Å, b = 6.265 Å, c = 6.265 Å
α = 119.99°, β = 90.02°, γ = 119.99°
Sites, in units of the cell vectors:
Ir (0.000, 0.000, 0.000)
Ir (0.750, 0.500, 0.250)
O (0.150, 0.767, 0.383)
O (0.617, 0.233, 0.383)
O (0.617, 0.767, 0.383)
O (0.133, 0.267, 0.400)
O (0.617, 0.233, 0.850)
O (0.133, 0.733, 0.867)
O (0.133, 0.267, 0.867)
O (0.600, 0.733, 0.867)
Pt (0.375, 0.750, 0.125)
Pt (0.375, 0.250, 0.625)
Pt (0.875, 0.250, 0.625)
Pt (0.375, 0.750, 0.625)